The following is a DFT calculation (PBE with a Hubbard U) of crystalline K2NiPdO4 at its relaxed geometry.

Computed properties:
Crystal system: orthorhombic
Volume: 22.465 Å³ per atom
VASP energy: -4.550 eV/atom

Cell: 5.743 13.431 18.641 Å, 90.00 90.00 90.00°
Space group Fddd (No. 70, origin choice 2)
One atom of each set of equivalent atoms:
K1 0.125 0.125 0.299 [16 per cell]
Ni1 0.125 0.125 0.625 [8 per cell]
Pd1 0.125 0.125 0.125 [8 per cell]
O1 0.106 0.282 0.874 [32 per cell]